1.
Entry from Alexandria via LeMat-Bulk: NpSi2Pd2 at its PBEsol-relaxed geometry (meta-GGA SCAN).

The value obtained for the energy relative to the elements, uncorrected is -0.513 eV/atom.

The space group is I4/mmm (No. 139) and the conventional cell measures 4.004, 4.004 and 10.232 Å, with angles of 90.00, 90.00 and 90.00 degrees. The inequivalent atoms are Np at (0.000, 0.000, 0.000), Si at (0.000, 0.000, 0.388) and Pd at (0.000, 0.500, 0.250).



2.
Entry from Alexandria via LeMat-Bulk: Cs2RbCl2 at its PBEsol-relaxed geometry (meta-GGA SCAN).

The value obtained for the energy relative to the elements, uncorrected is -1.539 eV/atom.

The space group is I4/mmm (No. 139) and the conventional cell measures 6.223, 6.223 and 15.458 Å, with angles of 90.00, 90.00 and 90.00 degrees. The inequivalent atoms are Cs at (0.000, 0.000, 0.179), Rb at (0.000, 0.000, 0.500) and Cl at (0.000, 0.500, 0.250).



3.
Entry from Alexandria via LeMat-Bulk: Cu3TeH at its PBEsol-relaxed geometry (meta-GGA SCAN).

As for the total energy: -16.993 eV per atom.

The space group is Pm-3m (No. 221) and the conventional cell measures 3.964, 3.964 and 3.964 Å, with angles of 90.00, 90.00 and 90.00 degrees. The inequivalent atoms are Cu at (0.000, 0.000, 0.500), Te at (0.500, 0.500, 0.500) and H at (0.000, 0.000, 0.000).



4.
Entry from Alexandria via LeMat-Bulk: KOsRh2 at its PBEsol-relaxed geometry (meta-GGA SCAN).

Its formation energy is 0.67 eV/atom. The distance to the lowest polymorph of the same formula comes out at 0.168 eV/atom.

The space group is Pmm2 (No. 25) and the conventional cell measures 2.642, 3.846 and 7.512 Å, with angles of 90.00, 90.00 and 90.00 degrees. The inequivalent atoms are K at (0.000, 0.000, 0.000), Os at (0.500, 0.500, 0.350), Rh at (0.000, 0.000, 0.493) and Rh at (0.500, 0.500, 0.681).



5.
Entry from Alexandria via LeMat-Bulk: CrOsRh2 at its PBEsol-relaxed geometry (meta-GGA SCAN).

Its formation energy is -0.09 eV/atom. The distance to the lowest polymorph of the same formula comes out at 0.000 eV/atom.

The space group is P4/mmm (No. 123) and the conventional cell measures 3.718, 3.718 and 3.787 Å, with angles of 90.00, 90.00 and 90.00 degrees. The inequivalent atoms are Cr at (0.000, 0.000, 0.000), Os at (0.500, 0.500, 0.000) and Rh at (0.000, 0.500, 0.500).



6.
Entry from Alexandria via LeMat-Bulk: KCo2Te at its PBEsol-relaxed geometry (meta-GGA SCAN).

The value obtained for the energy relative to the elements, uncorrected is 0.310 eV/atom.

The space group is I4_1/amd (No. 141, origin choice 2) and the conventional cell measures 4.812, 4.812 and 16.926 Å, with angles of 90.00, 90.00 and 90.00 degrees. The inequivalent atoms are K at (0.000, 0.250, 0.375), Co at (0.000, 0.000, 0.000) and Te at (0.000, 0.250, 0.875).



7.
Entry from Alexandria via LeMat-Bulk: Mo2AsP at its PBEsol-relaxed geometry (meta-GGA SCAN).

Its formation energy is 0.27 eV/atom. The distance to the lowest polymorph of the same formula comes out at 0.689 eV/atom.

The space group is Pmmm (No. 47) and the conventional cell measures 3.126, 3.852 and 4.955 Å, with angles of 90.00, 90.00 and 90.00 degrees. The inequivalent atoms are Mo at (0.000, 0.000, 0.000), Mo at (0.500, 0.000, 0.500), As at (0.000, 0.500, 0.500) and P at (0.500, 0.500, 0.000).



8.
Entry from Alexandria via LeMat-Bulk: CoTc3Au at its PBEsol-relaxed geometry (meta-GGA SCAN).

Its formation energy is 1.37 eV/atom.

The space group is Pm-3m (No. 221) and the conventional cell measures 4.313, 4.313 and 4.313 Å, with angles of 90.00, 90.00 and 90.00 degrees. The inequivalent atoms are Co at (0.000, 0.000, 0.000), Tc at (0.000, 0.000, 0.500) and Au at (0.500, 0.500, 0.500).



9.
Entry from Alexandria via LeMat-Bulk: ScTe2RuN at its PBEsol-relaxed geometry (meta-GGA SCAN).

The value obtained for the energy relative to the elements, uncorrected is 0.733 eV/atom.

The space group is P4/mmm (No. 123) and the conventional cell measures 5.482, 5.482 and 3.727 Å, with angles of 90.00, 90.00 and 90.00 degrees. The inequivalent atoms are Sc at (0.000, 0.000, 0.000), Te at (0.000, 0.500, 0.000), Ru at (0.500, 0.500, 0.500) and N at (0.000, 0.000, 0.500).



10.
Entry from Alexandria via LeMat-Bulk: Pr2MnNiO6 at its PBEsol-relaxed geometry (meta-GGA SCAN).

The value obtained for the energy relative to the elements, uncorrected is -2.877 eV/atom.

The space group is P2_1/c (No. 14) and the conventional cell measures 5.407, 5.420 and 9.347 Å, with angles of 90.00, 125.28 and 90.00 degrees. The inequivalent atoms are Pr at (0.242, 0.039, 0.250), Mn at (0.000, 0.000, 0.500), Ni at (0.500, 0.000, 0.000), O at (0.172, 0.223, 0.961), O at (0.238, 0.712, 0.962) and O at (0.315, 0.010, 0.744).



11.
Entry from Alexandria via LeMat-Bulk: BeCr3Hg at its PBEsol-relaxed geometry (meta-GGA SCAN).

Its formation energy is 1.53 eV/atom.

The space group is Pm-3m (No. 221) and the conventional cell measures 4.990, 4.990 and 4.990 Å, with angles of 90.00, 90.00 and 90.00 degrees. The inequivalent atoms are Be at (0.000, 0.000, 0.000), Cr at (0.000, 0.500, 0.500) and Hg at (0.500, 0.500, 0.500).



12.
Entry from Alexandria via LeMat-Bulk: YNiSe2 at its PBEsol-relaxed geometry (meta-GGA SCAN).

The value obtained for the energy relative to the elements, uncorrected is -1.137 eV/atom.

The space group is Cm (No. 8) and the conventional cell measures 10.505, 3.726 and 4.325 Å, with angles of 90.00, 90.34 and 90.00 degrees. The inequivalent atoms are Y at (0.000, 0.000, 0.000), Ni at (0.278, 0.000, 0.214), Se at (0.221, 0.500, 0.952) and Se at (0.460, 0.000, 0.495).